# 1
# La6CuRu2 PBE-GGA relaxed
data_La6CuRu2
_chemical_formula_sum 'La24 Cu4 Ru8'
_space_group_name_H-M_alt 'C 1 2/c 1'
_space_group_IT_number 15
_space_group_name_Hall '-C 2yc'
_cell_length_a 15.653
_cell_length_b 10.890
_cell_length_c 6.461
_cell_angle_alpha 90.00
_cell_angle_beta 108.04
_cell_angle_gamma 90.00
loop_
_atom_site_label
_atom_site_fract_x
_atom_site_fract_y
_atom_site_fract_z
La1 0.100 0.087 0.130
La2 0.109 0.433 0.177
La3 0.183 0.243 0.702
Cu1 0.000 0.307 0.750
Ru1 0.242 0.005 0.983
# **DOS(E_F)**: 1.229 states/eV per atom
# **Energy relative to the elements**: -0.178 eV/atom

***

# 2
# LaCuRu3 PBE-GGA relaxed
data_LaCuRu3
_chemical_formula_sum 'La1 Cu1 Ru3'
_space_group_name_H-M_alt 'P m -3 m'
_space_group_IT_number 221
_space_group_name_Hall '-P 4 2 3'
_cell_length_a 4.801
_cell_length_b 4.801
_cell_length_c 4.801
_cell_angle_alpha 90.00
_cell_angle_beta 90.00
_cell_angle_gamma 90.00
loop_
_atom_site_label
_atom_site_fract_x
_atom_site_fract_y
_atom_site_fract_z
La1 0.000 0.000 0.000
Cu1 0.500 0.500 0.500
Ru1 0.000 0.000 0.500
# **DOS(E_F)**: 1.296 states/eV per atom
# **Energy relative to the elements**: 1.991 eV/atom
# **Excess energy over the best structure of this formula in the dataset**: 1144 meV/atom

***

# 3
# La8Cu2Ru PBE-GGA relaxed
data_La8Cu2Ru
_chemical_formula_sum 'La16 Cu4 Ru2'
_space_group_name_H-M_alt 'C 1 2/m 1'
_space_group_IT_number 12
_space_group_name_Hall '-C 2y'
_cell_length_a 18.089
_cell_length_b 4.916
_cell_length_c 7.433
_cell_angle_alpha 90.00
_cell_angle_beta 92.35
_cell_angle_gamma 90.00
loop_
_atom_site_label
_atom_site_fract_x
_atom_site_fract_y
_atom_site_fract_z
La1 0.014 0.000 0.273
La2 0.094 0.500 0.971
La3 0.151 0.500 0.486
La4 0.213 0.000 0.837
Cu1 0.188 0.000 0.233
Ru1 0.000 0.500 0.500
# **DOS(E_F)**: 1.189 states/eV per atom
# **Energy relative to the elements**: -0.100 eV/atom

***

# 4
# La3Cu2Ru PBE-GGA relaxed
data_La3Cu2Ru
_chemical_formula_sum 'La12 Cu8 Ru4'
_space_group_name_H-M_alt 'P n m a'
_space_group_IT_number 62
_space_group_name_Hall '-P 2ac 2n'
_cell_length_a 12.137
_cell_length_b 4.233
_cell_length_c 11.878
_cell_angle_alpha 90.00
_cell_angle_beta 90.00
_cell_angle_gamma 90.00
loop_
_atom_site_label
_atom_site_fract_x
_atom_site_fract_y
_atom_site_fract_z
La1 0.048 0.250 0.125
La2 0.119 0.750 0.553
La3 0.231 0.250 0.792
Cu1 0.013 0.750 0.311
Cu2 0.194 0.750 0.995
Ru1 0.128 0.250 0.363
# **DOS(E_F)**: 0.905 states/eV per atom
# **Energy relative to the elements**: -0.189 eV/atom